1.
Below is a relaxed RbFe2C crystal, with properties calculated at the PBE level.

Computed properties:
Energy relative to the elements ... 2.38 eV per atom

a = 6.249 Å, b = 6.249 Å, c = 6.249 Å
α = 90.00°, β = 90.00°, γ = 90.00°
Space group Fm-3m (No. 225)
One atom of each set of equivalent atoms:
Rb1 0.000 0.000 0.000 x4
Fe1 0.250 0.250 0.250 x8
C1 0.000 0.000 0.500 x4

---

2.
Below is a relaxed Y3TeS6 crystal, with properties calculated at the PBE level.

Computed properties:
Uncorrected formation energy ... -1.444 eV/atom

a = 10.596 Å, b = 13.438 Å, c = 6.731 Å
α = 90.00°, β = 90.00°, γ = 90.00°
Space group Cmc2_1 (No. 36)
One atom of each set of equivalent atoms:
Y1 0.000 0.091 0.000 x4
Y2 0.190 0.397 0.895 x8
Te1 0.000 0.335 0.416 x4
S1 0.000 0.269 0.763 x4
S2 0.000 0.489 0.140 x4
S3 0.162 0.232 0.179 x8
S4 0.165 0.033 0.700 x8

---

3.
Below is a relaxed TlRe5 crystal, with properties calculated at the PBE level.

Computed properties:
Energy relative to the elements ... 0.50 eV per atom

a = 4.8953 Å, b = 4.8953 Å, c = 4.5694 Å
α = 90.00°, β = 90.00°, γ = 120.00°
Space group P-62m (No. 189)
One atom of each set of equivalent atoms:
Tl1 0.0000 0.0000 0.0000 x1
Re1 0.0000 0.6544 0.5000 x3
Re2 0.3333 0.6667 0.0000 x2

---

4.
Below is a relaxed Si2AgAs crystal, with properties calculated at the PBE level.

Computed properties:
Uncorrected formation energy ... 0.323 eV/atom

a = 2.644 Å, b = 3.675 Å, c = 7.259 Å
α = 90.00°, β = 90.00°, γ = 90.00°
Space group Pmmm (No. 47)
One atom of each set of equivalent atoms:
Si1 0.000 0.000 0.243 x2
Ag1 0.500 0.500 0.000 x1
As1 0.000 0.500 0.500 x1

---

5.
Below is a relaxed CaTb2PuP4 crystal, with properties calculated at the PBE level.

Computed properties:
Energy relative to the elements ... -1.31 eV per atom

a = 6.965 Å, b = 4.047 Å, c = 6.980 Å
α = 90.00°, β = 109.16°, γ = 90.00°
Space group P2/m (No. 10)
One atom of each set of equivalent atoms:
Ca1 0.000 0.000 0.000 x1
Tb1 0.000 0.500 0.500 x1
Tb2 0.500 0.000 0.500 x1
Pu1 0.500 0.500 0.000 x1
P1 0.259 0.000 0.753 x2
P2 0.261 0.500 0.251 x2

---

6.
Below is a relaxed NbVSb crystal, with properties calculated at the PBE level.

Computed properties:
Uncorrected formation energy ... 0.124 eV/atom

a = 4.5458 Å, b = 4.5458 Å, c = 2.9958 Å
α = 90.00°, β = 90.00°, γ = 120.00°
Space group P3m1 (No. 156)
One atom of each set of equivalent atoms:
Nb1 0.0000 0.0000 0.0000 x1
V1 0.3333 0.6667 0.2970 x1
Sb1 0.6667 0.3333 0.5379 x1

---

7.
Below is a relaxed Tb6SmCd5 crystal, with properties calculated at the PBE level.

Computed properties:
Energy relative to the elements ... -0.21 eV per atom

a = 5.276 Å, b = 7.861 Å, c = 15.947 Å
α = 90.00°, β = 90.00°, γ = 90.00°
Space group Immm (No. 71)
One atom of each set of equivalent atoms:
Tb1 0.000 0.227 0.000 x4
Tb2 0.000 0.258 0.329 x8
Sm1 0.000 0.000 0.500 x2
Cd1 0.000 0.000 0.171 x4
Cd2 0.000 0.500 0.154 x4
Cd3 0.000 0.500 0.500 x2

---

8.
Below is a relaxed MgIn2AgSe4 crystal, with properties calculated at the PBE level.

Computed properties:
Uncorrected formation energy ... -0.377 eV/atom

a = 7.550 Å, b = 7.550 Å, c = 7.394 Å
α = 90.00°, β = 90.00°, γ = 90.00°
Space group I-42m (No. 121)
One atom of each set of equivalent atoms:
Mg1 0.000 0.000 0.000 x2
In1 0.000 0.500 0.250 x4
Ag1 0.000 0.000 0.500 x2
Se1 0.181 0.181 0.759 x8

---

9.
Below is a relaxed AlSn2N crystal, with properties calculated at the PBE level.

Computed properties:
Uncorrected formation energy ... 0.348 eV/atom

a = 5.760 Å, b = 5.760 Å, c = 10.919 Å
α = 90.00°, β = 90.00°, γ = 90.00°
Space group I-42d (No. 122)
One atom of each set of equivalent atoms:
Al1 0.000 0.000 0.000 x4
Sn1 0.185 0.250 0.625 x8
N1 0.000 0.000 0.500 x4

---

10.
Below is a relaxed Zn6Cd4F19 crystal, with properties calculated at the PBE level.

Computed properties:
Uncorrected formation energy ... -2.160 eV/atom

a = 9.301 Å, b = 9.301 Å, c = 9.301 Å
α = 90.00°, β = 90.00°, γ = 90.00°
Space group I23 (No. 197)
One atom of each set of equivalent atoms:
Zn1 0.000 0.334 0.500 x12
Cd1 0.147 0.147 0.853 x8
F1 0.000 0.000 0.000 x2
F2 0.000 0.000 0.344 x12
F3 0.044 0.319 0.715 x24

---

11.
Below is a relaxed Sr2MnOs crystal, with properties calculated at the PBE level.

Computed properties:
Energy relative to the elements ... 0.66 eV per atom

a = 11.462 Å, b = 11.462 Å, c = 4.571 Å
α = 90.00°, β = 90.00°, γ = 90.00°
Space group I-42d (No. 122)
One atom of each set of equivalent atoms:
Sr1 0.066 0.250 0.125 x8
Mn1 0.000 0.000 0.500 x4
Os1 0.000 0.000 0.000 x4

---

12.
Below is a relaxed LiCaLuCd crystal, with properties calculated at the PBE level.

Computed properties:
Energy relative to the elements ... -0.11 eV per atom

a = 7.477 Å, b = 7.477 Å, c = 7.477 Å
α = 90.00°, β = 90.00°, γ = 90.00°
Space group F-43m (No. 216)
One atom of each set of equivalent atoms:
Li1 0.000 0.000 0.000 x4
Ca1 0.250 0.250 0.750 x4
Lu1 0.250 0.250 0.250 x4
Cd1 0.000 0.000 0.500 x4

---

no.,VASP energy (eV/atom)
1,-4.402
2,-6.174
3,-10.268
4,-4.263
5,-7.217
6,-7.646
7,-3.301
8,-3.360
9,-4.670
10,-3.776
11,-5.283
12,-2.448